[1]
12
Lattice="6.082 0.006 0.000 -2.692 5.454 0.000 -1.695 -2.730 5.164" Properties=species:S:1:pos:R:3 comment="CaTbV2O8 | Alexandria via LeMat-Bulk | GGA+U | optimized geometry" crystal_system=tetragonal dos_at_fermi_per_ev_cell=7.76 total_magnetization_mub_per_fu=1.1 pbc="T T T"
Ca 0.000 0.000 0.000
Tb -1.346 2.727 2.582
V 3.041 0.003 2.582
V 1.695 2.730 0.000
O 1.651 -0.456 1.643
O 0.308 2.344 0.975
O 0.269 -1.415 4.189
O 3.246 -1.446 3.521
O 3.082 3.116 0.975
O 4.431 0.462 1.643
O 2.836 1.452 3.521
O -0.269 1.415 4.189

***

[2]
12
Lattice="-0.870 4.937 2.041 -3.199 0.614 -2.644 -5.432 -2.489 3.249" Properties=species:S:1:pos:R:3 comment="CaTb2WO8 | Alexandria via LeMat-Bulk | GGA+U | optimized geometry" crystal_system=triclinic dos_at_fermi_per_ev_cell=0.00 total_magnetization_mub_per_fu=0.0 pbc="T T T"
Ca -2.716 -1.245 1.625
Tb -5.962 0.816 2.612
Tb -3.540 2.246 0.035
W 0.000 0.000 0.000
O -3.614 0.073 -0.785
O -8.178 1.642 2.262
O -2.160 3.615 1.520
O -5.888 2.989 3.432
O -1.323 1.420 0.385
O -7.342 -0.553 1.126
O -5.847 1.943 0.541
O -3.655 1.118 2.105

***

Number 1: final energy -7.4997 eV per atom. Number 2: final energy -7.4196 eV per atom.